# 1
## S (PBE-GGA)

Data for an optimized crystal structure of S.

Cell lengths 5.7637, 9.1845, 5.1574 Å; angles 90.00, 90.00, 90.00 degrees
Sites, in units of the cell vectors:
1 S 0.1417 0.0863 0.1305
2 S 0.1417 0.9137 0.8695
3 S 0.3583 0.4137 0.6305
4 S 0.3583 0.5863 0.3695
5 S 0.6417 0.4137 0.8695
6 S 0.6417 0.5863 0.1305
7 S 0.8583 0.0863 0.3695
8 S 0.8583 0.9137 0.6305

Results
Its crystal system is orthorhombic. The value obtained for the total magnetic moment is 0.000 μB/cell. The calculation puts the total DFT energy (no corrections) at -0.301 Ry/atom. For the formation energy without anion corrections, the calculation gives 33.2 meV per atom. As for the space-group type: No. 20. For the relative energy among the computed polymorphs, the calculation gives 33 meV/atom.

***

# 2
## S (PBE-GGA)

Data for an optimized crystal structure of S.

Cell lengths 14.1580, 10.3861, 19.3500 Å; angles 90.00, 110.84, 90.00 degrees
Sites, in units of the cell vectors:
1 S 0.0000 0.0000 0.0000
2 S 0.0000 0.4966 0.5000
3 S 0.0123 0.7139 0.2231
4 S 0.0147 0.2106 0.7254
5 S 0.0492 0.2774 0.2006
6 S 0.0505 0.7711 0.7004
7 S 0.0697 0.0329 0.5422
8 S 0.0697 0.5355 0.0422
9 S 0.1081 0.3539 0.7120
10 S 0.1078 0.8591 0.2152
11 S 0.1242 0.1173 0.0476
12 S 0.1242 0.6138 0.5476
13 S 0.1582 0.1717 0.5184
14 S 0.1583 0.6739 0.0182
15 S 0.1778 0.8791 0.7554
16 S 0.1786 0.3781 0.2600
17 S 0.1853 0.1590 0.9678
18 S 0.1856 0.6549 0.4679
19 S 0.2242 0.0891 0.4495
20 S 0.2246 0.5909 0.9497
21 S 0.2473 0.3348 0.7955
22 S 0.2467 0.8305 0.2978
23 S 0.2855 0.0133 0.9693
24 S 0.2861 0.5093 0.4700
25 S 0.2967 0.2479 0.2947
26 S 0.2986 0.7541 0.7952
27 S 0.3278 0.7033 0.2584
28 S 0.3309 0.2035 0.7610
29 S 0.3564 0.0007 0.5154
30 S 0.3566 0.2322 0.2119
31 S 0.3569 0.5031 0.0159
32 S 0.3590 0.7289 0.7133
33 S 0.3991 0.8077 0.2003
34 S 0.4002 0.3015 0.6992
35 S 0.4235 0.0592 0.0488
36 S 0.4240 0.5563 0.5492
37 S 0.4647 0.3741 0.2287
38 S 0.4647 0.8724 0.7250
39 S 0.4701 0.1369 0.5416
40 S 0.4703 0.6396 0.0417
41 S 0.5000 0.1762 0.0000
42 S 0.5000 0.6732 0.5000
43 S 0.5299 0.1369 0.4584
44 S 0.5297 0.6396 0.9583
45 S 0.5353 0.3741 0.7713
46 S 0.5353 0.8724 0.2750
47 S 0.5760 0.5563 0.4508
48 S 0.5765 0.0592 0.9512
49 S 0.5998 0.3015 0.3008
50 S 0.6009 0.8077 0.7997
51 S 0.6410 0.7289 0.2867
52 S 0.6434 0.2322 0.7881
53 S 0.6431 0.5031 0.9841
54 S 0.6436 0.0007 0.4846
55 S 0.6691 0.2035 0.2390
56 S 0.6722 0.7033 0.7416
57 S 0.7014 0.7541 0.2048
58 S 0.7033 0.2479 0.7053
59 S 0.7145 0.0133 0.0307
60 S 0.7139 0.5093 0.5300
61 S 0.7527 0.3348 0.2045
62 S 0.7533 0.8305 0.7022
63 S 0.7754 0.5909 0.0503
64 S 0.7758 0.0891 0.5505
65 S 0.8144 0.6549 0.5321
66 S 0.8146 0.1590 0.0322
67 S 0.8214 0.3781 0.7400
68 S 0.8222 0.8791 0.2446
69 S 0.8418 0.1717 0.4816
70 S 0.8417 0.6739 0.9818
71 S 0.8758 0.1173 0.9524
72 S 0.8758 0.6138 0.4524
73 S 0.8919 0.3539 0.2880
74 S 0.8922 0.8591 0.7848
75 S 0.9303 0.0329 0.4578
76 S 0.9303 0.5355 0.9578
77 S 0.9495 0.7711 0.2996
78 S 0.9508 0.2774 0.7994
79 S 0.9853 0.2106 0.2746
80 S 0.9877 0.7139 0.7769

Results
Its crystal system is monoclinic. The value obtained for the total magnetic moment is 0.000 μB/cell. The calculation puts the total DFT energy (no corrections) at -0.303 Ry/atom. For the formation energy without anion corrections, the calculation gives 9.7 meV per atom. As for the space-group type: No. 3. For the relative energy among the computed polymorphs, the calculation gives 10 meV/atom.

***

# 3
## S (PBE-GGA)

Data for an optimized crystal structure of S.

Cell lengths 9.1626, 9.1626, 3.5528 Å; angles 90.00, 90.00, 90.00 degrees
Sites, in units of the cell vectors:
1 S 0.2068 0.2068 0.0000
2 S 0.2068 0.7932 0.0000
3 S 0.2932 0.2932 0.5000
4 S 0.2932 0.7068 0.5000
5 S 0.7068 0.2932 0.5000
6 S 0.7068 0.7068 0.5000
7 S 0.7932 0.2068 0.0000
8 S 0.7932 0.7932 0.0000

Results
Its crystal system is tetragonal. The value obtained for the total magnetic moment is 0.000 μB/cell. The calculation puts the total DFT energy (no corrections) at -0.277 Ry/atom. For the formation energy without anion corrections, the calculation gives 358.1 meV per atom. As for the space-group type: No. 139. For the relative energy among the computed polymorphs, the calculation gives 358 meV/atom.